(1)
# PBE-GGA Dy6ZnHg2, relaxed
data_Dy6ZnHg2
_space_group_name_H-M_alt 'P 1'
_space_group_IT_number 1
_cell_length_a 8.7360
_cell_length_b 8.7360
_cell_length_c 8.7360
_cell_angle_alpha 146.52
_cell_angle_beta 131.71
_cell_angle_gamma 60.04
loop_
_space_group_symop_operation_xyz
'x,y,z'
loop_
_atom_site_label
_atom_site_type_symbol
_atom_site_fract_x
_atom_site_fract_y
_atom_site_fract_z
Dy1 Dy 0.0822 0.3360 0.7461
Dy2 Dy 0.2428 0.0000 0.2428
Dy3 Dy 0.4101 0.6640 0.7461
Dy4 Dy 0.5899 0.3360 0.2539
Dy5 Dy 0.7572 0.0000 0.7572
Dy6 Dy 0.9178 0.6640 0.2539
Zn1 Zn 0.0000 0.5000 0.5000
Hg1 Hg 0.3333 0.8333 0.5000
Hg2 Hg 0.6667 0.1667 0.5000
# uncorrected energy = -3.343 eV/atom
# density of states at the Fermi level = 11.2 states/eV/f.u.
# DFT formation energy = -0.066 eV/atom



(2)
# PBE-GGA Dy2ZnHg2, relaxed
data_Dy2ZnHg2
_space_group_name_H-M_alt 'P 1'
_space_group_IT_number 1
_cell_length_a 3.6999
_cell_length_b 19.0653
_cell_length_c 3.5365
_cell_angle_alpha 90.00
_cell_angle_beta 90.00
_cell_angle_gamma 90.00
loop_
_space_group_symop_operation_xyz
'x,y,z'
loop_
_atom_site_label
_atom_site_type_symbol
_atom_site_fract_x
_atom_site_fract_y
_atom_site_fract_z
Dy1 Dy 0.0000 0.0916 0.0000
Dy2 Dy 0.0000 0.9084 0.0000
Dy3 Dy 0.5000 0.4084 0.0000
Dy4 Dy 0.5000 0.5916 0.0000
Zn1 Zn 0.0000 0.5000 0.5000
Zn2 Zn 0.5000 0.0000 0.5000
Hg1 Hg 0.0000 0.3100 0.5000
Hg2 Hg 0.0000 0.6900 0.5000
Hg3 Hg 0.5000 0.1900 0.5000
Hg4 Hg 0.5000 0.8100 0.5000
# uncorrected energy = -2.516 eV/atom
# energy relative to the lowest polymorph listed for this composition = 80.4 meV/atom
# density of states at the Fermi level = 3.0 states/eV/f.u.
# DFT formation energy = -0.299 eV/atom



(3)
# PBE-GGA Dy6Zn2Hg, relaxed
data_Dy6Zn2Hg
_space_group_name_H-M_alt 'P 1'
_space_group_IT_number 1
_cell_length_a 11.2657
_cell_length_b 11.2657
_cell_length_c 11.2657
_cell_angle_alpha 154.52
_cell_angle_beta 154.52
_cell_angle_gamma 36.34
loop_
_space_group_symop_operation_xyz
'x,y,z'
loop_
_atom_site_label
_atom_site_type_symbol
_atom_site_fract_x
_atom_site_fract_y
_atom_site_fract_z
Dy1 Dy 0.0875 0.5875 0.5000
Dy2 Dy 0.2500 0.7500 0.5000
Dy3 Dy 0.4125 0.9125 0.5000
Dy4 Dy 0.5875 0.0875 0.5000
Dy5 Dy 0.7500 0.2500 0.5000
Dy6 Dy 0.9125 0.4125 0.5000
Zn1 Zn 0.1671 0.1671 0.0000
Zn2 Zn 0.8329 0.8329 0.0000
Hg1 Hg 0.5000 0.5000 0.0000
# uncorrected energy = -3.405 eV/atom
# energy relative to the lowest polymorph listed for this composition = 214.5 meV/atom
# density of states at the Fermi level = 12.2 states/eV/f.u.
# DFT formation energy = -0.020 eV/atom



(4)
# PBE-GGA Dy8Zn2Hg, relaxed
data_Dy8Zn2Hg
_space_group_name_H-M_alt 'P 1'
_space_group_IT_number 1
_cell_length_a 9.2499
_cell_length_b 9.2499
_cell_length_c 7.0778
_cell_angle_alpha 107.16
_cell_angle_beta 107.16
_cell_angle_gamma 31.87
loop_
_space_group_symop_operation_xyz
'x,y,z'
loop_
_atom_site_label
_atom_site_type_symbol
_atom_site_fract_x
_atom_site_fract_y
_atom_site_fract_z
Dy1 Dy 0.0291 0.0291 0.2657
Dy2 Dy 0.1973 0.1973 0.8149
Dy3 Dy 0.3287 0.3287 0.5273
Dy4 Dy 0.4075 0.4075 0.0340
Dy5 Dy 0.5925 0.5925 0.9660
Dy6 Dy 0.6713 0.6713 0.4727
Dy7 Dy 0.8027 0.8027 0.1851
Dy8 Dy 0.9709 0.9709 0.7343
Zn1 Zn 0.1847 0.1847 0.2081
Zn2 Zn 0.8153 0.8153 0.7919
Hg1 Hg 0.5000 0.5000 0.5000
# uncorrected energy = -3.774 eV/atom
# energy relative to the lowest polymorph listed for this composition = 0.0 meV/atom
# density of states at the Fermi level = 11.4 states/eV/f.u.
# DFT formation energy = -0.168 eV/atom



(5)
# PBE-GGA DyZrZnHg, relaxed
data_DyZrZnHg
_space_group_name_H-M_alt 'P 1'
_space_group_IT_number 1
_cell_length_a 7.0973
_cell_length_b 7.0973
_cell_length_c 7.0973
_cell_angle_alpha 90.00
_cell_angle_beta 90.00
_cell_angle_gamma 90.00
loop_
_space_group_symop_operation_xyz
'x,y,z'
loop_
_atom_site_label
_atom_site_type_symbol
_atom_site_fract_x
_atom_site_fract_y
_atom_site_fract_z
Dy1 Dy 0.0000 0.0000 0.0000
Dy2 Dy 0.0000 0.5000 0.5000
Dy3 Dy 0.5000 0.0000 0.5000
Dy4 Dy 0.5000 0.5000 0.0000
Zr1 Zr 0.0000 0.0000 0.5000
Zr2 Zr 0.0000 0.5000 0.0000
Zr3 Zr 0.5000 0.0000 0.0000
Zr4 Zr 0.5000 0.5000 0.5000
Zn1 Zn 0.2500 0.2500 0.7500
Zn2 Zn 0.2500 0.7500 0.2500
Zn3 Zn 0.7500 0.2500 0.2500
Zn4 Zn 0.7500 0.7500 0.7500
Hg1 Hg 0.2500 0.2500 0.2500
Hg2 Hg 0.2500 0.7500 0.7500
Hg3 Hg 0.7500 0.2500 0.7500
Hg4 Hg 0.7500 0.7500 0.2500
# uncorrected energy = -3.901 eV/atom
# density of states at the Fermi level = 4.4 states/eV/f.u.
# DFT formation energy = -0.219 eV/atom



(6)
# PBE-GGA Dy3ZrHg6, relaxed
data_Dy3ZrHg6
_space_group_name_H-M_alt 'P 1'
_space_group_IT_number 1
_cell_length_a 8.9889
_cell_length_b 5.1337
_cell_length_c 11.1121
_cell_angle_alpha 90.00
_cell_angle_beta 108.90
_cell_angle_gamma 90.00
loop_
_space_group_symop_operation_xyz
'x,y,z'
loop_
_atom_site_label
_atom_site_type_symbol
_atom_site_fract_x
_atom_site_fract_y
_atom_site_fract_z
Dy1 Dy 0.0263 0.2500 0.3856
Dy2 Dy 0.1511 0.7500 0.2162
Dy3 Dy 0.2730 0.2500 0.9889
Dy4 Dy 0.7270 0.7500 0.0111
Dy5 Dy 0.8489 0.2500 0.7838
Dy6 Dy 0.9737 0.7500 0.6144
Zr1 Zr 0.4430 0.2500 0.5872
Zr2 Zr 0.5570 0.7500 0.4128
Hg1 Hg 0.0245 0.7500 0.9151
Hg2 Hg 0.1643 0.2500 0.6902
Hg3 Hg 0.2601 0.7500 0.5119
Hg4 Hg 0.3462 0.7500 0.8282
Hg5 Hg 0.3585 0.2500 0.3033
Hg6 Hg 0.4441 0.7500 0.1288
Hg7 Hg 0.5559 0.2500 0.8712
Hg8 Hg 0.6415 0.7500 0.6967
Hg9 Hg 0.6538 0.2500 0.1718
Hg10 Hg 0.7399 0.2500 0.4881
Hg11 Hg 0.8357 0.7500 0.3098
Hg12 Hg 0.9755 0.2500 0.0849
# uncorrected energy = -2.744 eV/atom
# density of states at the Fermi level = 6.7 states/eV/f.u.
# DFT formation energy = -0.328 eV/atom



(7)
# PBE-GGA Dy2ZrHg, relaxed
data_Dy2ZrHg
_space_group_name_H-M_alt 'P 1'
_space_group_IT_number 1
_cell_length_a 3.3210
_cell_length_b 3.3210
_cell_length_c 34.4593
_cell_angle_alpha 90.00
_cell_angle_beta 90.00
_cell_angle_gamma 120.00
loop_
_space_group_symop_operation_xyz
'x,y,z'
loop_
_atom_site_label
_atom_site_type_symbol
_atom_site_fract_x
_atom_site_fract_y
_atom_site_fract_z
Dy1 Dy 0.0000 0.0000 0.0922
Dy2 Dy 0.0000 0.0000 0.9078
Dy3 Dy 0.3333 0.6667 0.5744
Dy4 Dy 0.3333 0.6667 0.7589
Dy5 Dy 0.6667 0.3333 0.2411
Dy6 Dy 0.6667 0.3333 0.4256
Zr1 Zr 0.0000 0.0000 0.0000
Zr2 Zr 0.3333 0.6667 0.6667
Zr3 Zr 0.6667 0.3333 0.3333
Hg1 Hg 0.0000 0.0000 0.5000
Hg2 Hg 0.3333 0.6667 0.1667
Hg3 Hg 0.6667 0.3333 0.8333
# uncorrected energy = -4.307 eV/atom
# energy relative to the lowest polymorph listed for this composition = 406.8 meV/atom
# density of states at the Fermi level = 5.6 states/eV/f.u.
# DFT formation energy = 0.206 eV/atom



(8)
# PBE-GGA Dy2ZrHg, relaxed
data_Dy2ZrHg
_space_group_name_H-M_alt 'P 1'
_space_group_IT_number 1
_cell_length_a 3.5168
_cell_length_b 3.5168
_cell_length_c 30.5931
_cell_angle_alpha 90.00
_cell_angle_beta 90.00
_cell_angle_gamma 120.00
loop_
_space_group_symop_operation_xyz
'x,y,z'
loop_
_atom_site_label
_atom_site_type_symbol
_atom_site_fract_x
_atom_site_fract_y
_atom_site_fract_z
Dy1 Dy 0.0000 0.0000 0.0000
Dy2 Dy 0.0000 0.0000 0.1707
Dy3 Dy 0.3333 0.6667 0.6667
Dy4 Dy 0.3333 0.6667 0.8373
Dy5 Dy 0.6667 0.3333 0.3333
Dy6 Dy 0.6667 0.3333 0.5040
Zr1 Zr 0.0000 0.0000 0.4184
Zr2 Zr 0.3333 0.6667 0.0851
Zr3 Zr 0.6667 0.3333 0.7518
Hg1 Hg 0.0000 0.0000 0.5850
Hg2 Hg 0.3333 0.6667 0.2517
Hg3 Hg 0.6667 0.3333 0.9183
# uncorrected energy = -4.616 eV/atom
# energy relative to the lowest polymorph listed for this composition = 98.1 meV/atom
# density of states at the Fermi level = 5.1 states/eV/f.u.
# DFT formation energy = -0.103 eV/atom